Entry 1:
# FeSiPd6 | Alexandria via LeMat-Bulk | PBE | relaxed
# magnetization: 3.6 Bohr magnetons per cell
# E_tot: -46.75 eV/cell
# uncorrected formation energy: -0.214 eV/atom
data_FeSiPd6
_symmetry_space_group_name_H-M 'P -1'
_symmetry_Int_Tables_number 2
_symmetry_space_group_name_Hall '-P 1'
_cell_length_a 4.9757
_cell_length_b 4.9945
_cell_length_c 5.0078
_cell_angle_alpha 95.53
_cell_angle_beta 95.88
_cell_angle_gamma 95.97
loop_
_atom_site_label
_atom_site_type_symbol
_atom_site_fract_x
_atom_site_fract_y
_atom_site_fract_z
Fe1 Fe 0.0000 0.0000 0.0000
Si1 Si 0.5000 0.5000 0.5000
Pd1 Pd 0.0858 0.2610 0.5520
Pd2 Pd 0.2617 0.5502 0.0876
Pd3 Pd 0.4522 0.9128 0.7391



Entry 2:
# ReHg2Mo | Alexandria via LeMat-Bulk | PBE | relaxed
# ΔE_f: 688 meV/atom
# magnetization: 0.0 Bohr magnetons per cell
# E_tot: -42.26 eV/cell
# offset from the most stable computed form: 273.9 meV per atom
data_ReHg2Mo
_symmetry_space_group_name_H-M 'I m m 2'
_symmetry_Int_Tables_number 44
_symmetry_space_group_name_Hall 'I 2 -2'
_cell_length_a 3.1752
_cell_length_b 4.8975
_cell_length_c 9.7487
_cell_angle_alpha 90.00
_cell_angle_beta 90.00
_cell_angle_gamma 90.00
loop_
_atom_site_label
_atom_site_type_symbol
_atom_site_fract_x
_atom_site_fract_y
_atom_site_fract_z
Re1 Re 0.0000 0.0000 0.0000
Hg1 Hg 0.0000 0.0000 0.5422
Hg2 Hg 0.0000 0.5000 0.7646
Mo1 Mo 0.0000 0.5000 0.3114



Entry 3:
# CsZnCd2Pb | Alexandria via LeMat-Bulk | PBE | relaxed
# ΔE_f: 126 meV/atom
# magnetization: 0.0 Bohr magnetons per cell
# E_tot: -7.04 eV/cell
data_CsZnCd2Pb
_symmetry_space_group_name_H-M 'P 4/m m m'
_symmetry_Int_Tables_number 123
_symmetry_space_group_name_Hall '-P 4 2'
_cell_length_a 5.5159
_cell_length_b 5.5159
_cell_length_c 5.6096
_cell_angle_alpha 90.00
_cell_angle_beta 90.00
_cell_angle_gamma 90.00
loop_
_atom_site_label
_atom_site_type_symbol
_atom_site_fract_x
_atom_site_fract_y
_atom_site_fract_z
Cs1 Cs 0.0000 0.0000 0.0000
Zn1 Zn 0.5000 0.5000 0.5000
Cd1 Cd 0.0000 0.5000 0.5000
Pb1 Pb 0.5000 0.5000 0.0000



Entry 4:
# LaBeBr3 | Alexandria via LeMat-Bulk | PBE | relaxed
# magnetization: 0.0 Bohr magnetons per cell
# E_tot: -17.69 eV/cell
# uncorrected formation energy: -0.804 eV/atom
# offset from the most stable computed form: 0.0 meV per atom
data_LaBeBr3
_symmetry_space_group_name_H-M 'P m -3 m'
_symmetry_Int_Tables_number 221
_symmetry_space_group_name_Hall '-P 4 2 3'
_cell_length_a 5.8877
_cell_length_b 5.8877
_cell_length_c 5.8877
_cell_angle_alpha 90.00
_cell_angle_beta 90.00
_cell_angle_gamma 90.00
loop_
_atom_site_label
_atom_site_type_symbol
_atom_site_fract_x
_atom_site_fract_y
_atom_site_fract_z
La1 La 0.0000 0.0000 0.0000
Be1 Be 0.5000 0.5000 0.5000
Br1 Br 0.0000 0.0000 0.5000



Entry 5:
# YNbIr2 | Alexandria via LeMat-Bulk | PBE | relaxed
# ΔE_f: -111 meV/atom
# magnetization: 0.0 Bohr magnetons per cell
# E_tot: -138.80 eV/cell
data_YNbIr2
_symmetry_space_group_name_H-M 'I -4 2 d'
_symmetry_Int_Tables_number 122
_symmetry_space_group_name_Hall 'I -4 2bw'
_cell_length_a 7.3678
_cell_length_b 7.3678
_cell_length_c 5.8974
_cell_angle_alpha 90.00
_cell_angle_beta 90.00
_cell_angle_gamma 90.00
loop_
_atom_site_label
_atom_site_type_symbol
_atom_site_fract_x
_atom_site_fract_y
_atom_site_fract_z
Y1 Y 0.0000 0.0000 0.0000
Nb1 Nb 0.0000 0.0000 0.5000
Ir1 Ir 0.2145 0.2500 0.6250



Entry 6:
# LaCdFe2Sb | Alexandria via LeMat-Bulk | PBE | relaxed
# magnetization: 3.7 Bohr magnetons per cell
# E_tot: -20.29 eV/cell
# uncorrected formation energy: 1.321 eV/atom
data_LaCdFe2Sb
_symmetry_space_group_name_H-M 'P 4/m m m'
_symmetry_Int_Tables_number 123
_symmetry_space_group_name_Hall '-P 4 2'
_cell_length_a 4.6842
_cell_length_b 4.6842
_cell_length_c 5.9388
_cell_angle_alpha 90.00
_cell_angle_beta 90.00
_cell_angle_gamma 90.00
loop_
_atom_site_label
_atom_site_type_symbol
_atom_site_fract_x
_atom_site_fract_y
_atom_site_fract_z
La1 La 0.0000 0.0000 0.0000
Cd1 Cd 0.0000 0.0000 0.5000
Fe1 Fe 0.0000 0.5000 0.0000
Sb1 Sb 0.5000 0.5000 0.5000